Entry from Alexandria via LeMat-Bulk: crystalline Ho2Si2PdRh5 at its relaxed geometry (GGA-PBE).

Cell: 9.683 9.683 3.492 Å, 90.00 90.00 90.00°
Element x y z (fractional)
Ho1 0.175 0.325 0.000
Ho2 0.325 0.825 0.000
Ho3 0.675 0.175 0.000
Ho4 0.825 0.675 0.000
Si1 0.125 0.625 0.000
Si2 0.375 0.125 0.000
Si3 0.625 0.875 0.000
Si4 0.875 0.375 0.000
Pd1 0.000 0.000 0.000
Pd2 0.500 0.500 0.000
Rh1 0.000 0.500 0.500
Rh2 0.069 0.786 0.500
Rh3 0.214 0.069 0.500
Rh4 0.286 0.569 0.500
Rh5 0.431 0.286 0.500
Rh6 0.500 0.000 0.500
Rh7 0.569 0.714 0.500
Rh8 0.714 0.431 0.500
Rh9 0.786 0.931 0.500
Rh10 0.931 0.214 0.500

Results
Its symmetry is P4/mbm (127). The value obtained for the calculated total energy is -7.043 eV per atom.

Entry from Alexandria via LeMat-Bulk: crystalline HoSnPdRh at its relaxed geometry (GGA-PBE).

Cell: 4.738 4.738 4.738 Å, 60.00 60.00 60.00°
Element x y z (fractional)
Ho1 0.000 0.000 0.000
Sn1 0.500 0.500 0.500
Pd1 0.250 0.250 0.250
Rh1 0.750 0.750 0.750

Results
Its symmetry is F-43m (216). The value obtained for the calculated total energy is -6.103 eV per atom. Its energy of formation is -18.95 kcal/mol of atoms.

Entry from Alexandria via LeMat-Bulk: crystalline SrHoPdRh at its relaxed geometry (GGA-PBE).

Cell: 5.014 5.014 5.014 Å, 60.00 60.00 60.00°
Element x y z (fractional)
Sr1 0.000 0.000 0.000
Ho1 0.500 0.500 0.500
Pd1 0.750 0.750 0.750
Rh1 0.250 0.250 0.250

Results
Its symmetry is F-43m (216). The value obtained for the calculated total energy is -5.251 eV per atom. Its energy of formation is -12.68 kcal/mol of atoms.

Entry from Alexandria via LeMat-Bulk: crystalline TbHoPdRh at its relaxed geometry (GGA-PBE).

Cell: 4.444 5.591 5.591 Å, 38.68 90.00 90.00°
Element x y z (fractional)
Tb1 0.000 0.000 0.000
Ho1 0.500 0.723 0.723
Pd1 0.500 0.445 0.445
Rh1 0.000 0.269 0.269

Results
Its symmetry is Amm2 (38). The value obtained for the calculated total energy is -6.319 eV per atom. Its energy of formation is -20.32 kcal/mol of atoms.

Entry from Alexandria via LeMat-Bulk: crystalline TbHoPdRh at its relaxed geometry (GGA-PBE).

Cell: 4.902 4.902 4.902 Å, 60.00 60.00 60.00°
Element x y z (fractional)
Tb1 0.000 0.000 0.000
Ho1 0.500 0.500 0.500
Pd1 0.750 0.750 0.750
Rh1 0.250 0.250 0.250

Results
Its symmetry is F-43m (216). The value obtained for the calculated total energy is -6.321 eV per atom. Its energy of formation is -20.35 kcal/mol of atoms.

Entry from Alexandria via LeMat-Bulk: crystalline HoTh2PdRh5 at its relaxed geometry (GGA-PBE).

Cell: 7.992 7.992 7.992 Å, 116.85 116.85 95.55°
Element x y z (fractional)
Ho1 0.250 0.250 0.000
Ho2 0.750 0.750 0.000
Th1 0.139 0.639 0.779
Th2 0.361 0.139 0.500
Th3 0.639 0.861 0.500
Th4 0.861 0.361 0.221
Pd1 0.250 0.750 0.500
Pd2 0.750 0.250 0.500
Rh1 0.000 0.000 0.000
Rh2 0.053 0.174 0.500
Rh3 0.174 0.674 0.120
Rh4 0.326 0.447 0.500
Rh5 0.447 0.947 0.120
Rh6 0.500 0.500 0.000
Rh7 0.553 0.053 0.880
Rh8 0.674 0.553 0.500
Rh9 0.826 0.326 0.880
Rh10 0.947 0.826 0.500

Results
Its symmetry is I4/mcm (140). The value obtained for the calculated total energy is -7.206 eV per atom. Its energy of formation is -8.94 kcal/mol of atoms.

Entry from Alexandria via LeMat-Bulk: crystalline HoTiPdRh at its relaxed geometry (GGA-PBE).

Cell: 4.665 4.665 4.665 Å, 60.00 60.00 60.00°
Element x y z (fractional)
Ho1 0.000 0.000 0.000
Ti1 0.500 0.500 0.500
Pd1 0.250 0.250 0.250
Rh1 0.750 0.750 0.750

Results
Its symmetry is F-43m (216). The value obtained for the calculated total energy is -6.894 eV per atom. Its energy of formation is -14.75 kcal/mol of atoms.

Entry from Alexandria via LeMat-Bulk: crystalline HoTlPdRh at its relaxed geometry (GGA-PBE).

Cell: 4.777 4.777 4.777 Å, 60.00 60.00 60.00°
Element x y z (fractional)
Ho1 0.000 0.000 0.000
Tl1 0.500 0.500 0.500
Pd1 0.250 0.250 0.250
Rh1 0.750 0.750 0.750

Results
Its symmetry is F-43m (216). The value obtained for the calculated total energy is -5.452 eV per atom. Its energy of formation is -13.38 kcal/mol of atoms.

Entry from Alexandria via LeMat-Bulk: crystalline Ho5Tl2PdRh2 at its relaxed geometry (GGA-PBE).

Cell: 11.636 11.636 3.568 Å, 90.00 90.00 90.00°
Element x y z (fractional)
Ho1 0.000 0.500 0.000
Ho2 0.073 0.198 0.000
Ho3 0.198 0.927 0.000
Ho4 0.302 0.427 0.000
Ho5 0.427 0.698 0.000
Ho6 0.500 0.000 0.000
Ho7 0.573 0.302 0.000
Ho8 0.698 0.573 0.000
Ho9 0.802 0.073 0.000
Ho10 0.927 0.802 0.000
Tl1 0.173 0.673 0.500
Tl2 0.327 0.173 0.500
Tl3 0.673 0.827 0.500
Tl4 0.827 0.327 0.500
Pd1 0.000 0.000 0.500
Pd2 0.500 0.500 0.500
Rh1 0.134 0.366 0.500
Rh2 0.366 0.866 0.500
Rh3 0.634 0.134 0.500
Rh4 0.866 0.634 0.500

Results
Its symmetry is P4/mbm (127). The value obtained for the calculated total energy is -5.397 eV per atom. Its energy of formation is -14.87 kcal/mol of atoms.

Entry from Alexandria via LeMat-Bulk: crystalline HoTmPdRh at its relaxed geometry (GGA-PBE).

Cell: 3.429 3.429 6.894 Å, 90.00 90.00 90.00°
Element x y z (fractional)
Ho1 0.000 0.000 0.000
Tm1 0.000 0.000 0.482
Pd1 0.500 0.500 0.737
Rh1 0.500 0.500 0.244

Results
Its symmetry is P4mm (99). The value obtained for the calculated total energy is -6.343 eV per atom. For the offset from the most stable computed form, the calculation gives 0 meV per atom. Its energy of formation is -21.77 kcal/mol of atoms.

Entry from Alexandria via LeMat-Bulk: crystalline HoTmPdRh at its relaxed geometry (GGA-PBE).

Cell: 4.857 4.857 4.857 Å, 60.00 60.00 60.00°
Element x y z (fractional)
Ho1 0.000 0.000 0.000
Tm1 0.500 0.500 0.500
Pd1 0.750 0.750 0.750
Rh1 0.250 0.250 0.250

Results
Its symmetry is F-43m (216). The value obtained for the calculated total energy is -6.329 eV per atom. For the offset from the most stable computed form, the calculation gives 14 meV per atom. Its energy of formation is -21.46 kcal/mol of atoms.

Entry from Alexandria via LeMat-Bulk: crystalline YHoPdRh at its relaxed geometry (GGA-PBE).

Cell: 4.899 4.899 4.899 Å, 60.00 60.00 60.00°
Element x y z (fractional)
Y1 0.000 0.000 0.000
Ho1 0.500 0.500 0.500
Pd1 0.750 0.750 0.750
Rh1 0.250 0.250 0.250

Results
Its symmetry is F-43m (216). The value obtained for the calculated total energy is -6.780 eV per atom. Its energy of formation is -20.38 kcal/mol of atoms.

Entry from Alexandria via LeMat-Bulk: crystalline Ho2Zn5Pd2Rh at its relaxed geometry (GGA-PBE).

Cell: 9.471 9.471 3.932 Å, 90.00 90.00 90.00°
Element x y z (fractional)
Ho1 0.180 0.320 0.000
Ho2 0.320 0.820 0.000
Ho3 0.680 0.180 0.000
Ho4 0.820 0.680 0.000
Zn1 0.000 0.500 0.500
Zn2 0.054 0.809 0.500
Zn3 0.191 0.054 0.500
Zn4 0.309 0.554 0.500
Zn5 0.446 0.309 0.500
Zn6 0.500 0.000 0.500
Zn7 0.554 0.691 0.500
Zn8 0.691 0.446 0.500
Zn9 0.809 0.946 0.500
Zn10 0.946 0.191 0.500
Pd1 0.119 0.619 0.000
Pd2 0.381 0.119 0.000
Pd3 0.619 0.881 0.000
Pd4 0.881 0.381 0.000
Rh1 0.000 0.000 0.000
Rh2 0.500 0.500 0.000

Results
Its symmetry is P4/mbm (127). The value obtained for the calculated total energy is -3.825 eV per atom. Its energy of formation is -11.50 kcal/mol of atoms.

Entry from Alexandria via LeMat-Bulk: crystalline Ho3Zn2PdRh3 at its relaxed geometry (GGA-PBE).

Cell: 7.789 7.789 3.164 Å, 90.00 90.00 120.00°
Element x y z (fractional)
Ho1 0.000 0.710 0.000
Ho2 0.290 0.290 0.000
Ho3 0.710 0.000 0.000
Zn1 0.333 0.667 0.000
Zn2 0.667 0.333 0.000
Pd1 0.000 0.000 0.500
Rh1 0.000 0.395 0.500
Rh2 0.395 0.000 0.500
Rh3 0.605 0.605 0.500

Results
Its symmetry is P-62m (189). The value obtained for the calculated total energy is -5.354 eV per atom. Its energy of formation is -11.94 kcal/mol of atoms.

Entry from Alexandria via LeMat-Bulk: crystalline HoZnPdRh at its relaxed geometry (GGA-PBE).

Cell: 4.597 4.597 4.597 Å, 60.00 60.00 60.00°
Element x y z (fractional)
Ho1 0.000 0.000 0.000
Zn1 0.500 0.500 0.500
Pd1 0.250 0.250 0.250
Rh1 0.750 0.750 0.750

Results
Its symmetry is F-43m (216). The value obtained for the calculated total energy is -5.317 eV per atom. Its energy of formation is -16.55 kcal/mol of atoms.

Entry from Alexandria via LeMat-Bulk: crystalline HoZrPdRh at its relaxed geometry (GGA-PBE).

Cell: 4.791 4.791 4.791 Å, 60.00 60.00 60.00°
Element x y z (fractional)
Ho1 0.000 0.000 0.000
Zr1 0.500 0.500 0.500
Pd1 0.250 0.250 0.250
Rh1 0.750 0.750 0.750

Results
Its symmetry is F-43m (216). The value obtained for the calculated total energy is -7.160 eV per atom. Its energy of formation is -17.11 kcal/mol of atoms.

Entry from Alexandria via LeMat-Bulk: crystalline Ho8PdRu2 at its relaxed geometry (GGA-PBE).

Cell: 7.534 7.534 5.835 Å, 99.99 99.99 112.54°
Element x y z (fractional)
Ho1 0.000 0.000 0.000
Ho2 0.034 0.296 0.595
Ho3 0.149 0.591 0.193
Ho4 0.296 0.034 0.595
Ho5 0.448 0.710 0.786
Ho6 0.591 0.149 0.193
Ho7 0.710 0.448 0.786
Ho8 0.737 0.737 0.382
Pd1 0.369 0.369 0.326
Ru1 0.063 0.683 0.692
Ru2 0.683 0.063 0.692

Results
Its symmetry is Cm (8). The value obtained for the calculated total energy is -5.796 eV per atom. For the offset from the most stable computed form, the calculation gives 41 meV per atom. Its energy of formation is -7.10 kcal/mol of atoms.

Entry from Alexandria via LeMat-Bulk: crystalline Ho3PdRu at its relaxed geometry (GGA-PBE).

Cell: 7.560 7.560 7.560 Å, 53.13 53.13 53.13°
Element x y z (fractional)
Ho1 0.102 0.392 0.742
Ho2 0.258 0.898 0.608
Ho3 0.392 0.742 0.102
Ho4 0.608 0.258 0.898
Ho5 0.742 0.102 0.392
Ho6 0.898 0.608 0.258
Pd1 0.174 0.174 0.174
Pd2 0.826 0.826 0.826
Ru1 0.325 0.325 0.325
Ru2 0.675 0.675 0.675

Results
Its symmetry is R-3 (148). The value obtained for the calculated total energy is -6.109 eV per atom. For the offset from the most stable computed form, the calculation gives 86 meV per atom. Its energy of formation is -10.80 kcal/mol of atoms.

Entry from Alexandria via LeMat-Bulk: crystalline Ho8PdRu2 at its relaxed geometry (GGA-PBE).

Cell: 9.039 9.039 6.879 Å, 106.66 106.66 31.05°
Element x y z (fractional)
Ho1 0.033 0.033 0.283
Ho2 0.204 0.204 0.816
Ho3 0.329 0.329 0.534
Ho4 0.403 0.403 0.036
Ho5 0.597 0.597 0.964
Ho6 0.671 0.671 0.466
Ho7 0.796 0.796 0.184
Ho8 0.967 0.967 0.717
Pd1 0.500 0.500 0.500
Ru1 0.186 0.186 0.205
Ru2 0.814 0.814 0.795

Results
Its symmetry is C2/m (12). The value obtained for the calculated total energy is -5.837 eV per atom. For the offset from the most stable computed form, the calculation gives 0 meV per atom. Its energy of formation is -8.05 kcal/mol of atoms.

Entry from Alexandria via LeMat-Bulk: crystalline Ho6PdRu2 at its relaxed geometry (GGA-PBE).

Cell: 8.308 8.308 8.308 Å, 111.65 111.13 105.70°
Element x y z (fractional)
Ho1 0.057 0.249 0.808
Ho2 0.179 0.272 0.451
Ho3 0.179 0.728 0.907
Ho4 0.330 0.016 0.686
Ho5 0.330 0.645 0.314
Ho6 0.441 0.249 0.192
Ho7 0.559 0.751 0.808
Ho8 0.670 0.355 0.686
Ho9 0.670 0.984 0.314
Ho10 0.821 0.272 0.093
Ho11 0.821 0.728 0.549
Ho12 0.943 0.751 0.192
Pd1 0.000 0.000 0.000
Pd2 0.500 0.500 0.000
Ru1 0.124 0.624 0.500
Ru2 0.325 0.000 0.325
Ru3 0.675 0.000 0.675
Ru4 0.876 0.376 0.500

Results
Its symmetry is Immm (71). The value obtained for the calculated total energy is -6.130 eV per atom. For the offset from the most stable computed form, the calculation gives 0 meV per atom. Its energy of formation is -10.14 kcal/mol of atoms.

Entry from Alexandria via LeMat-Bulk: crystalline Ho3PdRu at its relaxed geometry (GGA-PBE).

Cell: 8.603 7.326 7.976 Å, 90.00 110.09 90.00°
Element x y z (fractional)
Ho1 0.034 0.006 0.214
Ho2 0.034 0.494 0.714
Ho3 0.271 0.654 0.103
Ho4 0.271 0.846 0.603
Ho5 0.357 0.191 0.970
Ho6 0.357 0.309 0.470
Ho7 0.643 0.691 0.530
Ho8 0.643 0.809 0.030
Ho9 0.729 0.154 0.397
Ho10 0.729 0.346 0.897
Ho11 0.966 0.506 0.286
Ho12 0.966 0.994 0.786
Pd1 0.407 0.535 0.804
Pd2 0.407 0.965 0.304
Pd3 0.593 0.035 0.696
Pd4 0.593 0.465 0.196
Ru1 0.091 0.184 0.549
Ru2 0.091 0.316 0.049
Ru3 0.909 0.684 0.951
Ru4 0.909 0.816 0.451

Results
Its symmetry is P2_1/c (14). The value obtained for the calculated total energy is -6.195 eV per atom. For the offset from the most stable computed form, the calculation gives 0 meV per atom. Its energy of formation is -12.78 kcal/mol of atoms.

Entry from Alexandria via LeMat-Bulk: crystalline Ho6PdRu2 at its relaxed geometry (GGA-PBE).

Cell: 6.567 7.367 11.291 Å, 90.00 123.37 90.00°
Element x y z (fractional)
Ho1 0.072 0.054 0.238
Ho2 0.072 0.446 0.738
Ho3 0.223 0.677 0.075
Ho4 0.223 0.823 0.575
Ho5 0.392 0.165 0.068
Ho6 0.392 0.335 0.568
Ho7 0.608 0.665 0.432
Ho8 0.608 0.835 0.932
Ho9 0.777 0.177 0.425
Ho10 0.777 0.323 0.925
Ho11 0.928 0.554 0.262
Ho12 0.928 0.946 0.762
Pd1 0.500 0.000 0.500
Pd2 0.500 0.500 0.000
Ru1 0.301 0.118 0.765
Ru2 0.301 0.382 0.265
Ru3 0.699 0.618 0.735
Ru4 0.699 0.882 0.235

Results
Its symmetry is P2_1/c (14). The value obtained for the calculated total energy is -6.075 eV per atom. For the offset from the most stable computed form, the calculation gives 55 meV per atom. Its energy of formation is -8.87 kcal/mol of atoms.

We obtain density values of 10.21 10.89 8.61 10.20 10.63 11.03 9.76 12.47 10.62 11.13 11.13 9.25 9.16 10.39 10.63 9.94 9.30 9.10 9.77 9.80 9.88 9.45 Mg/m³ for the records listed above, in that order.